Entry 1:
A plane-wave DFT calculation with meta-GGA SCAN was carried out for Tl2CrAg at its PBEsol-relaxed geometry.

Lattice parameters (Å, degrees): 3.183 4.682 6.271 111.92 104.70 90.00
Each line ends with the local moment (μB).
Positions (direct):
1 Ag 0.543 0.543 0.086  0.01
2 Cr 0.247 0.747 0.494  3.74
3 Tl 0.967 0.967 0.933  0.00
4 Tl 0.743 0.243 0.487  -0.06

Space-group type: Imm2
DOS(E_F), states/eV/cell: 1.62

Entry 2:
A plane-wave DFT calculation with meta-GGA SCAN was carried out for Tl2CrAg at its PBEsol-relaxed geometry.

Lattice parameters (Å, degrees): 3.349 3.363 7.891 90.00 115.15 90.00
Each line ends with the local moment (μB).
Positions (direct):
1 Ag 0.500 0.500 0.000  -0.02
2 Cr 0.000 0.500 0.500  3.93
3 Tl 0.745 0.000 0.744  -0.02
4 Tl 0.255 0.000 0.256  -0.02

Space-group type: Pmmm
DOS(E_F), states/eV/cell: 1.84

Entry 3:
A plane-wave DFT calculation with meta-GGA SCAN was carried out for Cr2AgW at its PBEsol-relaxed geometry.

Lattice parameters (Å, degrees): 3.746 3.746 4.727 113.34 113.34 90.00
Each line ends with the local moment (μB).
Positions (direct):
1 Ag 0.250 0.750 0.500  0.02
2 Cr 0.000 0.000 0.000  -2.03
3 Cr 0.750 0.250 0.500  2.31
4 W 0.500 0.500 0.000  0.16

Space-group type: I-4m2
DOS(E_F), states/eV/cell: 3.24

Entry 4:
A plane-wave DFT calculation with meta-GGA SCAN was carried out for Cr2AgW at its PBEsol-relaxed geometry.

Lattice parameters (Å, degrees): 3.060 3.060 6.061 90.00 90.00 90.00
Each line ends with the local moment (μB).
Positions (direct):
1 Ag 0.500 0.500 0.500  0.12
2 Cr 0.000 0.000 0.776  2.53
3 Cr 0.000 0.000 0.224  2.53
4 W 0.500 0.500 0.000  -0.89

Space-group type: P4/mmm
DOS(E_F), states/eV/cell: 2.02

Entry 5:
A plane-wave DFT calculation with meta-GGA SCAN was carried out for Cr2AgW at its PBEsol-relaxed geometry.

Lattice parameters (Å, degrees): 2.571 4.786 4.894 113.90 90.00 90.00
Positions (direct):
1 Ag 0.000 0.500 0.500
2 Cr 0.000 0.000 0.000
3 Cr 0.500 0.000 0.500
4 W 0.500 0.500 0.000

Space-group type: P2/m
DOS(E_F), states/eV/cell: 3.72

Entry 6:
A plane-wave DFT calculation with meta-GGA SCAN was carried out for YCr3Ag at its PBEsol-relaxed geometry.

Lattice parameters (Å, degrees): 4.746 4.746 4.746 90.00 90.00 90.00
Each line ends with the local moment (μB).
Positions (direct):
1 Y 0.000 0.000 0.000  0.37
2 Cr 0.000 0.500 0.000  3.60
3 Cr 0.000 0.000 0.500  3.60
4 Cr 0.500 0.000 0.000  3.60
5 Ag 0.500 0.500 0.500  -0.01

Space-group type: Pm-3m
DOS(E_F), states/eV/cell: 3.56

Entry 7:
A plane-wave DFT calculation with meta-GGA SCAN was carried out for ZnCrAg2 at its PBEsol-relaxed geometry.

Lattice parameters (Å, degrees): 2.820 4.911 5.328 116.04 103.10 94.73
Each line ends with the local moment (μB).
Positions (direct):
1 Ag 0.000 0.000 0.500  0.04
2 Ag 0.500 0.500 0.500  0.04
3 Cr 0.500 0.000 0.000  3.86
4 Zn 0.000 0.500 0.000  -0.02

Space-group type: C2/m
DOS(E_F), states/eV/cell: 1.44

Entry 8:
A plane-wave DFT calculation with meta-GGA SCAN was carried out for ZnCrAg2 at its PBEsol-relaxed geometry.

Lattice parameters (Å, degrees): 2.794 2.794 9.087 81.16 81.16 60.00
Each line ends with the local moment (μB).
Positions (direct):
1 Ag 0.004 0.004 0.989  -0.01
2 Ag 0.247 0.247 0.258  0.05
3 Cr 0.496 0.496 0.511  3.45
4 Zn 0.753 0.753 0.742  -0.03

Space-group type: R3m
DOS(E_F), states/eV/cell: 1.64

Number 1: E_form 0.269 eV/atom. Number 2: E_form 0.287 eV/atom. Number 3: E_form 0.589 eV/atom. Number 4: E_form 0.336 eV/atom. Number 5: E_form 0.699 eV/atom. Number 6: E_form 1.864 eV/atom. Number 7: E_form 0.170 eV/atom. Number 8: E_form 0.196 eV/atom.